[1]
# YThCoRh PBE-GGA optimized geometry
# Calculated formation energy, kJ per mole of atoms: -43
# DFT total energy, eV per atom: -7.531
data_YThCoRh
_chemical_formula_sum 'Y4 Th4 Co4 Rh4'
_cell_length_a 6.9362
_cell_length_b 6.9362
_cell_length_c 6.9362
_cell_angle_alpha 90.00
_cell_angle_beta 90.00
_cell_angle_gamma 90.00
_space_group_name_H-M_alt 'F -4 3 m'
_space_group_IT_number 216
_space_group_name_Hall 'F -4 2 3'
loop_
_atom_site_label
_atom_site_type_symbol
_atom_site_fract_x
_atom_site_fract_y
_atom_site_fract_z
_atom_site_occupancy
Y1 Y 0.0000 0.0000 0.0000 1
Th1 Th 0.0000 0.0000 0.5000 1
Co1 Co 0.2500 0.2500 0.2500 1
Rh1 Rh 0.2500 0.2500 0.7500 1



[2]
# Tm2Sn5Pd12 PBE-GGA optimized geometry
# Calculated formation energy, kJ per mole of atoms: -48
# DFT total energy, eV per atom: -5.303
data_Tm2Sn5Pd12
_chemical_formula_sum 'Tm4 Sn10 Pd24'
_cell_length_a 12.9664
_cell_length_b 8.2745
_cell_length_c 6.7688
_cell_angle_alpha 90.00
_cell_angle_beta 90.11
_cell_angle_gamma 90.00
_space_group_name_H-M_alt 'C 1 2/m 1'
_space_group_IT_number 12
loop_
_space_group_symop_operation_xyz
'x,y,z'
'-x,-y,-z'
'-x,y,-z'
'x,-y,z'
'x+1/2,y+1/2,z'
'-x+1/2,-y+1/2,-z'
'-x+1/2,y+1/2,-z'
'x+1/2,-y+1/2,z'
loop_
_atom_site_label
_atom_site_type_symbol
_atom_site_fract_x
_atom_site_fract_y
_atom_site_fract_z
_atom_site_occupancy
Tm1 Tm 0.0000 0.2280 0.0000 1
Sn1 Sn 0.0000 0.0000 0.5000 1
Sn2 Sn 0.1647 0.5000 0.1230 1
Sn3 Sn 0.2349 0.0000 0.4561 1
Pd1 Pd 0.0371 0.5000 0.7373 1
Pd2 Pd 0.1100 0.2826 0.4286 1
Pd3 Pd 0.1253 0.0000 0.8084 1
Pd4 Pd 0.2120 0.3014 0.8243 1



[3]
# TmCd PBE-GGA optimized geometry
# Calculated formation energy, kJ per mole of atoms: -30
# DFT total energy, eV per atom: -3.005
data_TmCd
_chemical_formula_sum 'Tm1 Cd1'
_cell_length_a 3.6961
_cell_length_b 3.6961
_cell_length_c 3.6961
_cell_angle_alpha 90.00
_cell_angle_beta 90.00
_cell_angle_gamma 90.00
_space_group_name_H-M_alt 'P m -3 m'
_space_group_IT_number 221
_space_group_name_Hall '-P 4 2 3'
loop_
_atom_site_label
_atom_site_type_symbol
_atom_site_fract_x
_atom_site_fract_y
_atom_site_fract_z
_atom_site_occupancy
Tm1 Tm 0.0000 0.0000 0.0000 1
Cd1 Cd 0.5000 0.5000 0.5000 1



[4]
# Sr2GeI6 PBE-GGA optimized geometry
# DFT total energy, eV per atom: -3.124
data_Sr2GeI6
_chemical_formula_sum 'Sr6 Ge3 I18'
_cell_length_a 8.1791
_cell_length_b 8.1791
_cell_length_c 21.7621
_cell_angle_alpha 90.00
_cell_angle_beta 90.00
_cell_angle_gamma 120.00
_space_group_name_H-M_alt 'R -3'
_space_group_IT_number 148
_space_group_name_Hall '-R 3'
loop_
_atom_site_label
_atom_site_type_symbol
_atom_site_fract_x
_atom_site_fract_y
_atom_site_fract_z
_atom_site_occupancy
Sr1 Sr 0.0000 0.0000 0.1883 1
Ge1 Ge 0.0000 0.0000 0.0000 1
I1 I 0.0233 0.6438 0.7501 1



What are the total magnetization values for these records? In order: 0.00; 0.00; 0.00; 0.00 μB/cell.